Entry 1:
The following is a PBE calculation of an optimized crystal structure of Ba2SrZn2, from Alexandria via LeMat-Bulk.

Values from the calculation:
Total magnetization ... 0.00 μB/f.u.
N(E_F) ... 3.112 states/eV/cell
Calculated density ... 4.061 Mg/m³
Energy above the lowest structure with this stoichiometry ... 83 meV/atom
Electronic total energy ... -16.53 eV/cell
Calculated formation energy ... -3.7 kJ/mol of atoms

abc: 6.490 6.490 9.575
angles: 90.00 90.00 90.00
Space group I4/mmm (No. 139)
One atom of each set of equivalent atoms:
Ba: 0.000 0.500 0.250 x4
Sr: 0.000 0.000 0.000 x2
Zn: 0.000 0.000 0.371 x4

Entry 2:
The following is a PBE calculation of an optimized crystal structure of Ba2SrZr, from Alexandria via LeMat-Bulk.

Values from the calculation:
Total magnetization ... 0.00 μB/f.u.
N(E_F) ... 15.183 states/eV/cell
Calculated density ... 4.342 Mg/m³
Energy above the lowest structure with this stoichiometry ... 20 meV/atom
Electronic total energy ... -36.75 eV/cell
Calculated formation energy ... 44.1 kJ/mol of atoms

abc: 3.9150 3.9150 39.1991
angles: 90.00 90.00 120.00
Space group R-3m (No. 166, hexagonal axes)
One atom of each set of equivalent atoms:
Ba: 0.0000 0.0000 0.2389 x6
Sr: 0.0000 0.0000 0.0000 x3
Zr: 0.0000 0.0000 0.5000 x3